DFT (PBE) results for a relaxed structure of ZrZn2Pd2.

Output
crystal system	tetragonal
E above lowest polymorph	0.030	eV per atom

Cell lengths 7.492, 7.492, 2.876 Å; angles 90.00, 90.00, 90.00 degrees
Fractional positions:
Zn (0.381, 0.881, 0.000)
Zn (0.881, 0.619, 0.000)
Zn (0.619, 0.119, 0.000)
Zn (0.119, 0.381, 0.000)
Zr (0.000, 0.000, 0.000)
Zr (0.500, 0.500, 0.000)
Pd (0.179, 0.679, 0.500)
Pd (0.679, 0.821, 0.500)
Pd (0.821, 0.321, 0.500)
Pd (0.321, 0.179, 0.500)

=====

DFT (PBE) results for a relaxed structure of ZrZnPd2.

Output
crystal system	tetragonal

Cell lengths 3.135, 4.636, 4.636 Å; angles 90.00, 90.00, 90.00 degrees
Fractional positions:
Zn (0.500, 0.000, 0.000)
Zr (0.500, 0.500, 0.500)
Pd (0.000, 0.000, 0.500)
Pd (0.000, 0.500, 0.000)

=====

DFT (PBE) results for a relaxed structure of Zr5Pd.

Output
crystal system	tetragonal
E above lowest polymorph	0.000	eV per atom

Cell lengths 3.276, 3.276, 12.163 Å; angles 90.00, 90.00, 90.00 degrees
Fractional positions:
Zr (0.000, 0.000, 0.645)
Zr (0.500, 0.500, 0.819)
Zr (0.000, 0.000, 0.000)
Zr (0.500, 0.500, 0.181)
Zr (0.000, 0.000, 0.355)
Pd (0.500, 0.500, 0.500)

=====

DFT (PBE) results for a relaxed structure of Zr9Pd11.

Output
crystal system	tetragonal

Cell lengths 8.144, 8.144, 8.144 Å; angles 100.25, 100.25, 130.11 degrees
Fractional positions:
Zr (0.241, 0.416, 0.658)
Zr (0.759, 0.584, 0.342)
Zr (0.584, 0.241, 0.825)
Zr (0.416, 0.759, 0.175)
Zr (0.307, 0.095, 0.402)
Zr (0.693, 0.905, 0.598)
Zr (0.905, 0.307, 0.213)
Zr (0.095, 0.693, 0.787)
Zr (0.000, 0.000, 0.000)
Pd (0.326, 0.436, 0.337)
Pd (0.674, 0.564, 0.663)
Pd (0.099, 0.989, 0.663)
Pd (0.989, 0.326, 0.890)
Pd (0.901, 0.011, 0.337)
Pd (0.011, 0.674, 0.110)
Pd (0.436, 0.099, 0.110)
Pd (0.564, 0.901, 0.890)
Pd (0.250, 0.750, 0.500)
Pd (0.750, 0.250, 0.500)
Pd (0.500, 0.500, 0.000)

=====

DFT (PBE) results for a relaxed structure of Zr2Pd5.

Output
crystal system	orthorhombic

Cell lengths 5.704, 6.959, 7.602 Å; angles 117.24, 112.04, 90.00 degrees
Fractional positions:
Zr (0.392, 0.697, 0.784)
Zr (0.608, 0.303, 0.216)
Zr (0.892, 0.087, 0.784)
Zr (0.108, 0.913, 0.216)
Pd (0.117, 0.329, 0.235)
Pd (0.883, 0.671, 0.765)
Pd (0.617, 0.905, 0.235)
Pd (0.383, 0.095, 0.765)
Pd (0.478, 0.728, 0.456)
Pd (0.022, 0.272, 0.544)
Pd (0.522, 0.272, 0.544)
Pd (0.978, 0.728, 0.456)
Pd (0.750, 0.500, 0.000)
Pd (0.250, 0.500, 0.000)

=====

DFT (PBE) results for a relaxed structure of Zr3Pd4.

Output
crystal system	trigonal

Cell lengths 7.535, 7.535, 7.535 Å; angles 114.10, 114.10, 114.10 degrees
Fractional positions:
Zr (0.397, 0.267, 0.006)
Zr (0.006, 0.397, 0.267)
Zr (0.267, 0.006, 0.397)
Zr (0.603, 0.733, 0.994)
Zr (0.994, 0.603, 0.733)
Zr (0.733, 0.994, 0.603)
Pd (0.000, 0.000, 0.000)
Pd (0.500, 0.500, 0.500)
Pd (0.923, 0.762, 0.439)
Pd (0.439, 0.923, 0.762)
Pd (0.762, 0.439, 0.923)
Pd (0.077, 0.238, 0.561)
Pd (0.561, 0.077, 0.238)
Pd (0.238, 0.561, 0.077)

=====

DFT (PBE) results for a relaxed structure of ZrPd6.

Output
crystal system	orthorhombic
E above lowest polymorph	0.000	eV per atom

Cell lengths 4.257, 8.285, 13.436 Å; angles 90.00, 90.00, 90.00 degrees
Fractional positions:
Zr (0.250, 0.250, 0.588)
Zr (0.750, 0.750, 0.412)
Zr (0.750, 0.750, 0.912)
Zr (0.250, 0.250, 0.088)
Pd (0.750, 0.250, 0.452)
Pd (0.250, 0.750, 0.548)
Pd (0.250, 0.750, 0.048)
Pd (0.750, 0.250, 0.952)
Pd (0.250, 0.250, 0.795)
Pd (0.750, 0.750, 0.205)
Pd (0.750, 0.750, 0.705)
Pd (0.250, 0.250, 0.295)
Pd (0.250, 0.491, 0.430)
Pd (0.750, 0.509, 0.570)
Pd (0.750, 0.509, 0.070)
Pd (0.750, 0.991, 0.570)
Pd (0.250, 0.491, 0.930)
Pd (0.250, 0.009, 0.430)
Pd (0.250, 0.009, 0.930)
Pd (0.750, 0.991, 0.070)
Pd (0.750, 0.460, 0.801)
Pd (0.250, 0.540, 0.199)
Pd (0.250, 0.540, 0.699)
Pd (0.250, 0.960, 0.199)
Pd (0.750, 0.460, 0.301)
Pd (0.750, 0.040, 0.801)
Pd (0.750, 0.040, 0.301)
Pd (0.250, 0.960, 0.699)

=====

DFT (PBE) results for a relaxed structure of Zr3Pd.

Output
crystal system	orthorhombic

Cell lengths 3.207, 5.388, 5.819 Å; angles 117.58, 105.99, 90.00 degrees
Fractional positions:
Zr (0.280, 0.638, 0.561)
Zr (0.500, 0.440, 0.000)
Zr (0.720, 0.077, 0.439)
Pd (0.000, 0.012, 0.000)

=====

DFT (PBE) results for a relaxed structure of Zr3Pd.

Output
crystal system	tetragonal

Cell lengths 4.169, 4.169, 5.600 Å; angles 111.86, 111.86, 90.00 degrees
Fractional positions:
Zr (0.750, 0.250, 0.500)
Zr (0.250, 0.750, 0.500)
Zr (0.500, 0.500, 0.000)
Pd (0.000, 0.000, 0.000)

=====

DFT (PBE) results for a relaxed structure of Zr5Pd.

Output
crystal system	orthorhombic
E above lowest polymorph	0.036	eV per atom

Cell lengths 3.471, 4.925, 7.939 Å; angles 108.07, 90.00, 90.00 degrees
Fractional positions:
Zr (0.500, 0.848, 0.696)
Zr (0.000, 0.676, 0.352)
Zr (0.500, 0.500, 0.000)
Zr (0.000, 0.324, 0.648)
Zr (0.500, 0.152, 0.304)
Pd (0.000, 0.000, 0.000)

=====

DFT (PBE) results for a relaxed structure of Zr3Pd.

Output
crystal system	cubic

Cell lengths 4.856, 4.856, 4.856 Å; angles 60.00, 60.00, 60.00 degrees
Fractional positions:
Zr (0.000, 0.000, 0.000)
Zr (0.750, 0.750, 0.750)
Zr (0.250, 0.250, 0.250)
Pd (0.500, 0.500, 0.500)

=====

DFT (PBE) results for a relaxed structure of ZrPd6.

Output
crystal system	cubic
E above lowest polymorph	1.377	eV per atom

Cell lengths 5.997, 5.997, 5.997 Å; angles 109.47, 109.47, 109.47 degrees
Fractional positions:
Zr (0.000, 0.000, 0.000)
Pd (0.250, 0.750, 0.500)
Pd (0.500, 0.750, 0.250)
Pd (0.250, 0.500, 0.750)
Pd (0.750, 0.250, 0.500)
Pd (0.500, 0.250, 0.750)
Pd (0.750, 0.500, 0.250)

=====

| no. | calculated total energy (eV/atom) | formation enthalpy at 0 K (kJ per mole of atoms) |
| --- | --- | --- |
| 1 | -4.791 | -47.8 |
| 2 | -5.551 | -48.1 |
| 3 | -8.206 | -20.9 |
| 4 | -7.339 | -61.4 |
| 5 | -6.821 | -64.6 |
| 6 | -7.318 | -66.3 |
| 7 | -6.026 | -34.1 |
| 8 | -8.008 | -28.8 |
| 9 | -7.918 | -20.2 |
| 10 | -8.169 | -17.4 |
| 11 | -7.878 | -16.3 |
| 12 | -4.649 | 98.8 |